1:
ScBe3H (PBE, optimized geometry); spin magnetization = 0.05 μB/atom; V = 138.1 Å³ per cell
1.0
-4.3709 -0.0020 -2.7593
-0.7294 -4.9843 1.1591
-2.6612 1.3695 4.2145
H Be Sc
1 3 1
Cartesian
-3.8808 -1.8085 1.3071 H
-2.1855 -0.0010 -1.3797 Be
-0.3647 -2.4922 0.5795 Be
-1.3306 0.6847 2.1072 Be
0.0000 0.0000 0.0000 Sc


2:
ScBe3H (PBE, optimized geometry); spin magnetization = 0.00 μB/atom; V = 51.2 Å³ per cell
1.0
3.7130 0.0000 0.0000
0.0000 3.7130 0.0000
0.0000 0.0000 3.7130
H Be Sc
1 3 1
Cartesian
0.0000 0.0000 0.0000 H
0.0000 1.8565 0.0000 Be
0.0000 0.0000 1.8565 Be
1.8565 0.0000 0.0000 Be
1.8565 1.8565 1.8565 Sc


Q: What are the energies relative to the best structure? A: 1 1952; 2 0, in meV per atom.


1:
BeH2Se (PBE, optimized geometry); spin magnetization = 0.00 μB/atom; V = 35.0 Å³ per cell
1.0
-2.3392 2.0626 1.9373
-2.6717 1.8461 -1.7126
-3.4958 -1.0550 0.3811
H Be Se
2 1 1
Cartesian
-6.3800 2.1402 0.4543 H
-2.1267 0.7134 0.1514 H
0.0000 0.0000 0.0000 Be
-4.2534 1.4268 0.3029 Se


2:
BeH2Se (PBE, optimized geometry); spin magnetization = 0.00 μB/atom; V = 79.6 Å³ per cell
1.0
4.8310 0.0000 0.0000
0.0000 4.8310 0.0000
2.4155 2.4155 3.4111
Se Be H
2 2 4
Cartesian
0.0000 0.0000 0.0000 Se
4.8310 2.4155 1.7055 Se
2.4155 4.8310 1.7055 Be
2.4155 2.4155 0.0000 Be
6.0387 4.8310 2.5583 H
2.4155 1.2077 0.8528 H
3.6232 4.8310 2.5583 H
2.4155 3.6232 0.8528 H


3:
BeH2Se (PBE, optimized geometry); spin magnetization = 0.00 μB/atom; V = 71.0 Å³ per cell
1.0
6.9027 -0.7802 0.7360
-0.4646 3.0297 -1.0514
0.6377 -1.9432 4.1503
H Se Be
2 1 1
Cartesian
4.1969 0.0551 3.3673 H
4.7049 -0.3646 3.0031 H
0.9229 -0.2944 1.2752 Se
1.2422 -1.2636 3.3479 Be


Q: What are the energies relative to the best structure? A: 1 888; 2 430; 3 0, in meV per atom.


1:
Be3HSe (PBE, optimized geometry); spin magnetization = 0.00 μB/atom; V = 50.4 Å³ per cell
1.0
-1.9052 -2.4561 -1.9950
2.4701 -2.6098 0.8541
-1.9776 -0.8936 2.9888
Be Se H
3 1 1
Cartesian
-0.9888 -0.4468 1.4944 Be
-0.9526 -1.2281 -0.9975 Be
1.2351 -1.3049 0.4271 Be
-0.7063 -2.9798 0.9240 Se
0.0000 0.0000 0.0000 H


2:
Be3HSe (PBE, optimized geometry); spin magnetization = 0.00 μB/atom; V = 81.8 Å³ per cell
1.0
-1.4753 -0.1669 -4.0799
4.0607 -0.5152 -1.4473
-0.4285 -4.3077 0.3312
Be H Se
3 1 1
Cartesian
-0.2142 -2.1539 0.1656 Be
2.0304 -0.2576 -0.7237 Be
-0.7377 -0.0834 -2.0399 Be
1.0785 -2.4949 -2.5980 H
0.0000 0.0000 0.0000 Se


Q: What are the energies relative to the best structure? A: 1 0; 2 829, in meV per atom.


1:
BeSiH2 (PBE, optimized geometry); spin magnetization = 0.00 μB/atom; V = 69.5 Å³ per cell
1.0
-3.0321 2.1460 2.4038
-2.3810 -3.7161 0.3142
-0.9636 -1.6506 4.3302
Be H Si
2 4 2
Cartesian
-2.7066 -0.7851 1.3590 Be
-3.0256 -3.0759 3.0017 Be
-5.0497 -1.9727 5.5718 H
-1.9122 0.0950 2.2108 H
-2.6295 -2.0979 1.9928 H
-3.1621 -2.4659 4.3209 H
-3.3512 -0.1449 4.0465 Si
0.0000 0.0000 0.0000 Si


2:
BeSiH2 (PBE, optimized geometry); spin magnetization = 0.00 μB/atom; V = 29.6 Å³ per cell
1.0
0.0000 2.4559 2.4559
2.4559 0.0000 2.4559
2.4559 2.4559 0.0000
H Be Si
2 1 1
Cartesian
3.6839 3.6839 3.6839 H
1.2280 1.2280 1.2280 H
0.0000 0.0000 0.0000 Be
2.4559 2.4559 2.4559 Si


Q: What are the energies relative to the best structure? A: 1 0; 2 279, in meV per atom.


1:
Be2SiH (PBE, optimized geometry); spin magnetization = 0.00 μB/atom; V = 75.0 Å³ per cell
1.0
-3.5456 -0.9798 1.5189
1.5399 0.1139 3.6681
-2.1297 4.1567 2.9240
Be H Si
4 2 2
Cartesian
-3.6661 2.3366 5.9842 Be
-0.7356 0.7883 3.5229 Be
-2.0357 2.8160 4.8855 Be
-1.8335 0.6407 1.8293 Be
-0.7963 1.9188 4.5928 H
-1.0029 -0.4330 2.5935 H
-3.3391 1.3720 3.5182 Si
0.0000 0.0000 0.0000 Si


2:
Be2SiH (PBE, optimized geometry); spin magnetization = 0.00 μB/atom; V = 38.0 Å³ per cell
1.0
-1.9452 -0.4845 3.1971
-2.3637 2.6874 1.1961
-3.7277 -0.5725 -0.1277
H Si Be
1 1 2
Cartesian
0.0000 0.0000 0.0000 H
-4.0183 0.8152 2.1328 Si
-6.0275 1.2228 3.1991 Be
-2.0092 0.4076 1.0664 Be


Q: What are the energies relative to the best structure? A: 1 0; 2 311, in meV per atom.


1:
BeSiH3 (PBE, optimized geometry); spin magnetization = 0.00 μB/atom; V = 35.9 Å³ per cell
1.0
-0.5484 3.2410 0.2802
-2.3861 -0.2076 -2.2686
-2.2111 -0.5798 2.3787
H Si Be
3 1 1
Cartesian
-0.2742 1.6205 0.1401 H
-1.1055 -0.2899 1.1893 H
-1.1931 -0.1038 -1.1343 H
-2.5728 1.2268 0.1952 Si
0.0000 0.0000 0.0000 Be


2:
BeSiH3 (PBE, optimized geometry); spin magnetization = 0.00 μB/atom; V = 42.0 Å³ per cell
1.0
3.4755 0.0000 0.0000
0.0000 3.4755 0.0000
0.0000 0.0000 3.4755
H Be Si
3 1 1
Cartesian
1.7377 0.0000 0.0000 H
0.0000 0.0000 1.7377 H
0.0000 1.7377 0.0000 H
1.7377 1.7377 1.7377 Be
0.0000 0.0000 0.0000 Si


Q: What are the energies relative to the best structure? A: 1 0; 2 204, in meV per atom.


1:
BeSi3H (PBE, optimized geometry); spin magnetization = 0.00 μB/atom; V = 76.6 Å³ per cell
1.0
4.2478 0.0000 0.0000
0.0000 4.2478 0.0000
0.0000 0.0000 4.2478
Be H Si
1 1 3
Cartesian
0.0000 0.0000 0.0000 Be
2.1239 2.1239 2.1239 H
0.0000 2.1239 0.0000 Si
2.1239 0.0000 0.0000 Si
0.0000 0.0000 2.1239 Si


2:
BeSi3H (PBE, optimized geometry); spin magnetization = 0.00 μB/atom; V = 56.1 Å³ per cell
1.0
-1.1063 3.4316 -1.2871
1.2214 -0.9224 -3.5091
-3.4555 -1.4247 -0.8282
H Si Be
1 3 1
Cartesian
0.0000 0.0000 0.0000 H
0.6107 -0.4612 -1.7545 Si
-0.5532 1.7158 -0.6435 Si
-1.7277 -0.7124 -0.4141 Si
-1.6702 0.5422 -2.8122 Be


Q: What are the energies relative to the best structure? A: 1 442; 2 0, in meV per atom.


1:
SmBeH (PBE, optimized geometry); spin magnetization = 0.00 μB/atom; V = 51.0 Å³ per cell
1.0
3.4945 0.0000 0.0000
0.0000 3.4945 0.0000
-1.7472 -1.7472 4.1783
Be Sm H
1 1 1
Cartesian
0.0000 0.0000 2.3461 Be
1.7472 1.7472 0.9545 Sm
0.0000 0.0000 0.8777 H


2:
SmBeH (PBE, optimized geometry); spin magnetization = 0.00 μB/atom; V = 88.4 Å³ per cell
1.0
3.1431 0.0000 0.0000
0.0000 3.2836 0.0000
-1.5715 0.0000 8.5640
H Sm Be
2 2 2
Cartesian
0.0000 0.8209 7.5443 H
1.5715 2.4627 1.0196 H
0.0000 0.8209 1.7188 Sm
1.5715 2.4627 6.8451 Sm
0.0000 2.4627 4.2321 Be
1.5715 0.8209 4.3319 Be


Q: What are the energies relative to the best structure? A: 1 113; 2 0, in meV per atom.


1:
BeSnH2 (PBE, optimized geometry); spin magnetization = 0.00 μB/atom; V = 42.6 Å³ per cell
1.0
0.0000 2.7722 2.7722
2.7722 0.0000 2.7722
2.7722 2.7722 0.0000
H Sn Be
2 1 1
Cartesian
1.3861 1.3861 1.3861 H
4.1583 4.1583 4.1583 H
2.7722 2.7722 2.7722 Sn
0.0000 0.0000 0.0000 Be


2:
BeSnH2 (PBE, optimized geometry); spin magnetization = 0.00 μB/atom; V = 91.5 Å³ per cell
1.0
4.9756 0.0000 0.0000
0.0000 4.9756 0.0000
2.4878 2.4878 3.6956
H Be Sn
4 2 2
Cartesian
2.4860 1.2439 0.9239 H
6.2195 4.9738 2.7717 H
2.4896 3.7317 0.9239 H
3.7317 4.9773 2.7717 H
2.4878 4.9756 1.8478 Be
2.4878 2.4878 0.0000 Be
4.9756 2.4878 1.8478 Sn
0.0000 0.0000 0.0000 Sn


Q: What are the energies relative to the best structure? A: 1 539; 2 0, in meV per atom.


1:
BeSnH3 (PBE, optimized geometry); spin magnetization = 0.00 μB/atom; V = 63.6 Å³ per cell
1.0
-1.3184 -2.1550 -3.0899
-2.4832 -1.9647 2.4297
-2.8330 2.7250 -0.6918
H Be Sn
3 1 1
Cartesian
-0.6592 -1.0775 -1.5450 H
-1.4165 1.3625 -0.3459 H
-1.2416 -0.9824 1.2149 H
-3.3173 -0.6974 -0.6760 Be
0.0000 0.0000 0.0000 Sn


2:
BeSnH3 (PBE, optimized geometry); spin magnetization = 0.00 μB/atom; V = 46.0 Å³ per cell
1.0
3.5841 0.0000 0.0000
0.0000 3.5841 0.0000
0.0000 0.0000 3.5841
Sn H Be
1 3 1
Cartesian
1.7920 1.7920 1.7920 Sn
0.0000 1.7920 0.0000 H
1.7920 0.0000 0.0000 H
0.0000 0.0000 1.7920 H
0.0000 0.0000 0.0000 Be


Q: What are the energies relative to the best structure? A: 1 442; 2 0, in meV per atom.


1:
SrBe2H6 (PBE, optimized geometry); spin magnetization = 0.00 μB/atom; V = 84.8 Å³ per cell
1.0
-4.1771 -0.9574 1.5051
1.2278 -0.8401 4.2389
-2.9785 3.3149 2.4792
H Sr Be
6 1 2
Cartesian
-4.5715 2.0886 3.9528 H
-5.5292 0.8533 5.6389 H
-3.1484 0.7901 5.5305 H
-1.3563 -0.5712 4.2703 H
-0.3987 0.6641 2.5842 H
-2.7795 0.7272 2.6926 H
0.0000 0.0000 0.0000 Sr
-1.6152 0.5192 3.4365 Be
-4.3127 0.9981 4.7866 Be


2:
SrBe2H6 (PBE, optimized geometry); spin magnetization = 0.00 μB/atom; V = 168.6 Å³ per cell
1.0
4.0866 0.5762 1.5894
2.0023 6.5225 0.9358
0.6438 -0.1694 6.8545
H Sr Be
12 2 4
Cartesian
2.9688 3.2657 7.0730 H
5.5437 6.1723 5.5517 H
5.1206 4.1322 6.6240 H
3.5023 2.3316 4.2169 H
1.1661 0.6681 1.5504 H
3.2303 4.5976 5.1628 H
5.5665 6.2611 7.8293 H
3.3133 1.4677 1.8926 H
3.7638 3.6636 2.3067 H
1.1889 0.7569 3.8280 H
3.4193 5.4615 7.4870 H
1.6120 2.7971 2.7557 H
1.9346 1.3005 6.0792 Sr
4.7981 5.6288 3.3005 Sr
3.6599 4.4042 6.5883 Be
3.0727 2.5251 2.7914 Be
0.8780 1.4912 2.6563 Be
5.8546 5.4380 6.7234 Be


Q: What are the energies relative to the best structure? A: 1 0; 2 17, in meV per atom.


1:
SrBeH4 (PBE, optimized geometry); spin magnetization = 0.00 μB/atom; V = 262.7 Å³ per cell
1.0
6.1955 0.2421 0.0000
-1.4586 6.3693 0.0000
0.0000 0.0000 6.5973
H Be Sr
16 4 4
Cartesian
2.6539 3.9571 5.5100 H
3.9283 1.2555 1.3088 H
0.0310 1.8509 6.3290 H
2.3994 5.1566 3.5669 H
0.2854 0.6514 4.3859 H
2.3375 1.4548 3.0303 H
4.7060 4.7605 0.2683 H
0.0471 6.3375 0.8533 H
4.6356 2.2923 4.6075 H
4.4515 5.9600 2.2113 H
3.8742 3.2739 2.4453 H
0.8086 5.3559 5.2884 H
2.0830 2.6543 1.0873 H
4.6898 0.2739 5.7440 H
0.1013 4.3191 1.9898 H
0.8628 3.3375 4.1519 H
1.6697 4.4665 4.5729 Be
-0.7598 5.2085 1.2742 Be
3.0672 2.1449 2.0244 Be
5.4968 1.4029 5.3231 Be
-0.0152 1.8348 2.1414 Sr
2.3533 5.1404 1.1572 Sr
2.3836 1.4709 5.4400 Sr
4.7521 4.7766 4.4559 Sr


2:
SrBeH4 (PBE, optimized geometry); spin magnetization = 0.00 μB/atom; V = 118.6 Å³ per cell
1.0
4.1583 -0.6347 0.0000
-1.7603 6.5931 0.0000
-1.1990 -2.9792 4.5104
H Sr Be
8 2 2
Cartesian
2.0565 -0.8278 0.9563 H
-0.8575 3.8070 3.5540 H
-1.2450 -1.0764 3.5942 H
-0.8342 1.3938 3.5942 H
1.1764 2.4687 3.5540 H
2.0332 1.5854 0.9162 H
2.4440 4.0556 0.9162 H
0.0226 0.5105 0.9563 H
0.1594 3.1379 1.3933 Sr
1.0396 -0.1587 3.1171 Sr
1.0396 -0.1587 0.0640 Be
0.1594 3.1379 4.4464 Be


Q: What are the energies relative to the best structure? A: 1 0; 2 236, in meV per atom.